DFT (GGA-PBE) results for crystalline GeCIN2 at its relaxed geometry.

Cell and atoms, written as CIF:
```
data_GeCIN2
_space_group_name_H-M_alt 'P 4/m m m'
_space_group_IT_number 123
_space_group_name_Hall '-P 4 2'
_cell_length_a 3.946
_cell_length_b 3.946
_cell_length_c 4.377
_cell_angle_alpha 90.00
_cell_angle_beta 90.00
_cell_angle_gamma 90.00
loop_
_atom_site_label
_atom_site_type_symbol
_atom_site_fract_x
_atom_site_fract_y
_atom_site_fract_z
Ge1 Ge 0.000 0.000 0.000
C1 C 0.500 0.500 0.500
I1 I 0.500 0.500 0.000
N1 N 0.000 0.500 0.500
```

D(E_F) = 2.7 states/eV/f.u.
formation energy from raw total energies = 2554 meV/atom
energy above the lowest structure with this stoichiometry = 439 meV per atom
theoretical density = 5.836 Mg/m³